[1]
The following is a DFT calculation (GGA-PBE) of a relaxed structure of BaIn2Hg6.

Values from the calculation:
**Distance to the lowest polymorph of the same formula**: 0 meV per atom
**Crystal system**: orthorhombic
**Symmetry**: Immm
**Formation energy**: -15.7 kJ/mol of atoms

a = 3.9828 Å, b = 8.7874 Å, c = 8.7874 Å
α = 63.08°, β = 76.90°, γ = 76.90°
Fractional coordinates of all 9 atoms:
Hg 0.6848 0.6435 0.9870
Hg 0.6848 0.9870 0.6435
Hg 0.3152 0.3565 0.0130
Hg 0.3152 0.0130 0.3565
Hg 0.5000 0.6752 0.3248
Hg 0.5000 0.3248 0.6752
Ba 0.0000 0.0000 0.0000
In 0.8692 0.6308 0.6308
In 0.1308 0.3692 0.3692


[2]
The following is a DFT calculation (GGA-PBE) of a relaxed structure of TbPuS2.

Values from the calculation:
**Distance to the lowest polymorph of the same formula**: 51 meV per atom
**Energy relative to the elements, uncorrected**: -1.8639 eV per atom
**Crystal system**: hexagonal
**Symmetry**: P6_3/mmc

a = 3.8878 Å, b = 3.8878 Å, c = 13.3792 Å
α = 90.00°, β = 90.00°, γ = 120.00°
Fractional coordinates of all 8 atoms:
S 0.6667 0.3333 0.8792
S 0.3333 0.6667 0.3792
S 0.6667 0.3333 0.6208
S 0.3333 0.6667 0.1208
Tb 0.0000 0.0000 0.0000
Tb 0.0000 0.0000 0.5000
Pu 0.3333 0.6667 0.7500
Pu 0.6667 0.3333 0.2500


[3]
The following is a DFT calculation (GGA-PBE) of a relaxed structure of BeSiPt2.

Values from the calculation:
**Energy relative to the elements, uncorrected**: -0.6145 eV per atom
**Crystal system**: monoclinic
**Symmetry**: Cm

a = 4.5318 Å, b = 4.5318 Å, c = 4.1631 Å
α = 76.27°, β = 76.27°, γ = 39.87°
Fractional coordinates of all 4 atoms:
Be 0.2552 0.2552 0.1974
Si 0.4965 0.4965 0.5450
Pt 0.9910 0.9910 0.0791
Pt 0.7573 0.7573 0.6784